(1)
DFT (PBE) results for crystalline Mg2BeTc at its relaxed geometry.

The crystal system is trigonal. For the formation energy, the calculation gives 43.2 kJ per mole of atoms. For the energy above the most stable polymorph in this dataset, the calculation gives 0.3023 eV/atom. The energy comes out at -15.5 eV/f.u.

The space group is R-3m (No. 166, hexagonal axes) and the conventional cell measures 2.8308, 2.8308 and 27.0755 Å, with angles of 90.00, 90.00 and 120.00 degrees. The asymmetric unit holds Mg at (0.0000, 0.0000, 0.2475), Be at (0.0000, 0.0000, 0.5000) and Tc at (0.0000, 0.0000, 0.0000).

=====

(2)
DFT (PBE) results for crystalline Mg2BeTc at its relaxed geometry.

The crystal system is tetragonal. For the formation energy, the calculation gives 58.1 kJ per mole of atoms. For the energy above the most stable polymorph in this dataset, the calculation gives 0.4565 eV/atom. The energy comes out at -14.9 eV/f.u.

The space group is I-42d (No. 122) and the conventional cell measures 7.044, 7.044 and 5.046 Å, with angles of 90.00, 90.00 and 90.00 degrees. The asymmetric unit holds Mg at (0.213, 0.250, 0.125), Be at (0.000, 0.000, 0.000) and Tc at (0.000, 0.000, 0.500).

=====

(3)
DFT (PBE) results for crystalline MgBe3Tc at its relaxed geometry.

The crystal system is cubic. For the formation energy, the calculation gives 64.0 kJ per mole of atoms. For the energy above the most stable polymorph in this dataset, the calculation gives 0.0000 eV/atom. The energy comes out at -19.8 eV/f.u.

The space group is Pm-3m (No. 221) and the conventional cell measures 4.232, 4.232 and 4.232 Å, with angles of 90.00, 90.00 and 90.00 degrees. The asymmetric unit holds Mg at (0.000, 0.000, 0.000), Be at (0.000, 0.500, 0.500) and Tc at (0.500, 0.500, 0.500).

=====

(4)
DFT (PBE) results for crystalline MgBeTc2 at its relaxed geometry.

The crystal system is tetragonal. For the formation energy, the calculation gives 9.7 kJ per mole of atoms. For the energy above the most stable polymorph in this dataset, the calculation gives 0.1196 eV/atom. The energy comes out at -25.7 eV/f.u.

The space group is P4/mmm (No. 123) and the conventional cell measures 3.032, 3.032 and 6.202 Å, with angles of 90.00, 90.00 and 90.00 degrees. The asymmetric unit holds Mg at (0.000, 0.000, 0.000), Be at (0.000, 0.000, 0.500) and Tc at (0.500, 0.500, 0.314).